(1)
Computed, not measured: an optimized crystal structure of LaMn2Cl at the PBE level of DFT.

Cell: 5.5733 3.4412 4.4874 Å, 89.60 90.00 90.00°
With the nearest neighbours (Å) after each atom.
Fractional positions:
Cl: 0.5000 0.2500 0.2500  4 La 2.82-2.84
Mn: 0.0000 0.9638 0.9012  1 Mn 2.01
Mn: 0.0000 0.5362 0.5988  1 Mn 2.01
La: 0.5000 0.7500 0.7500  4 Cl 2.82-2.84, 4 Mn 2.96

Values from the calculation:
Formation energy without anion corrections in eV per formula unit: 0.80
Space group: P2/m (10)
DOS at the Fermi energy in states/eV per cell: 3.664
Energy above the most stable polymorph in this dataset in eV/atom: 0.408

(2)
Computed, not measured: an optimized crystal structure of LaMn2Cl at the PBE level of DFT.

Cell: 9.3648 9.3648 9.3648 Å, 20.60 20.60 20.60°
With the nearest neighbours (Å) after each atom.
Fractional positions:
Cl: 0.2500 0.2500 0.2500  6 Mn 2.76
Mn: 0.9884 0.9884 0.9884  3 Cl 2.76
Mn: 0.5116 0.5116 0.5116  3 Cl 2.76
La: 0.7500 0.7500 0.7500  6 Mn 3.25, 6 La 3.35

Values from the calculation:
Formation energy without anion corrections in eV per formula unit: 0.79
Space group: R-3m (166)
DOS at the Fermi energy in states/eV per cell: 3.909
Energy above the most stable polymorph in this dataset in eV/atom: 0.404

(3)
Computed, not measured: an optimized crystal structure of LaMn2Cl at the PBE level of DFT.

Cell: 5.7677 3.9871 3.9871 Å, 90.00 90.00 90.00°
With the nearest neighbours (Å) after each atom.
Fractional positions:
Cl: 0.5000 0.5000 0.0000  4 La 2.82
Mn: 0.0000 0.0000 0.0000  4 Mn 2.82
Mn: 0.0000 0.5000 0.5000  4 Mn 2.82
La: 0.5000 0.0000 0.5000  4 Cl 2.82

Values from the calculation:
Formation energy without anion corrections in eV per formula unit: 0.19
Space group: P4/mmm (123)
DOS at the Fermi energy in states/eV per cell: 6.530
Energy above the most stable polymorph in this dataset in eV/atom: 0.256

(4)
Computed, not measured: an optimized crystal structure of LaMnCl2 at the PBE level of DFT.

Cell: 5.3421 5.3421 5.3421 Å, 128.51 128.51 75.81°
With the nearest neighbours (Å) after each atom.
Fractional positions:
Cl: 0.0000 0.0000 0.0000  4 Mn 3.13, 4 La 3.13, 4 Cl 3.28
Cl: 0.5000 0.5000 0.0000  4 La 3.13, 4 Mn 3.13, 4 Cl 3.28
Mn: 0.7500 0.2500 0.5000  8 Cl 3.13, 4 La 3.28
La: 0.2500 0.7500 0.5000  8 Cl 3.13, 4 Mn 3.28

Values from the calculation:
Formation energy without anion corrections in eV per formula unit: -3.30
Space group: I4/mmm (139)
DOS at the Fermi energy in states/eV per cell: 1.755
Energy above the most stable polymorph in this dataset in eV/atom: 0.156

(5)
Computed, not measured: an optimized crystal structure of LaMnCl2 at the PBE level of DFT.

Cell: 5.1341 5.1341 5.1341 Å, 60.00 60.00 60.00°
With the nearest neighbours (Å) after each atom.
Fractional positions:
Cl: 0.0000 0.0000 0.0000  4 Mn 3.14, 4 Cl 3.14
Cl: 0.2500 0.2500 0.2500  4 La 3.14, 4 Cl 3.14
Mn: 0.7500 0.7500 0.7500  4 Cl 3.14, 4 La 3.14
La: 0.5000 0.5000 0.5000  4 Mn 3.14, 4 Cl 3.14

Values from the calculation:
Formation energy without anion corrections in eV per formula unit: -1.96
Space group: F-43m (216)
DOS at the Fermi energy in states/eV per cell: 6.160
Energy above the most stable polymorph in this dataset in eV/atom: 0.490

(6)
Computed, not measured: an optimized crystal structure of LaMn2Cl at the PBE level of DFT.

Cell: 3.3291 3.3291 8.2417 Å, 90.00 90.00 90.00°
With the nearest neighbours (Å) after each atom.
Fractional positions:
Cl: 0.5000 0.5000 0.2500  8 Mn 3.00, 4 Cl 3.33
Mn: 0.0000 0.0000 0.0237  4 Cl 3.00, 4 La 3.26, 4 Mn 3.33
Mn: 0.0000 0.0000 0.4763  4 Cl 3.00, 4 La 3.26, 4 Mn 3.33
La: 0.5000 0.5000 0.7500  8 Mn 3.26, 4 La 3.33

Values from the calculation:
Formation energy without anion corrections in eV per formula unit: 0.77
Space group: P4/mmm (123)
DOS at the Fermi energy in states/eV per cell: 2.477
Energy above the most stable polymorph in this dataset in eV/atom: 0.399

What did the fourth record say?
Computed, not measured: an optimized crystal structure of LaMnCl2 at the PBE level of DFT.

Cell: 5.3421 5.3421 5.3421 Å, 128.51 128.51 75.81°
With the nearest neighbours (Å) after each atom.
Fractional positions:
Cl: 0.0000 0.0000 0.0000  4 Mn 3.13, 4 La 3.13, 4 Cl 3.28
Cl: 0.5000 0.5000 0.0000  4 La 3.13, 4 Mn 3.13, 4 Cl 3.28
Mn: 0.7500 0.2500 0.5000  8 Cl 3.13, 4 La 3.28
La: 0.2500 0.7500 0.5000  8 Cl 3.13, 4 Mn 3.28

Values from the calculation:
Formation energy without anion corrections in eV per formula unit: -3.30
Space group: I4/mmm (139)
DOS at the Fermi energy in states/eV per cell: 1.755
Energy above the most stable polymorph in this dataset in eV/atom: 0.156

What did the third record say?
Computed, not measured: an optimized crystal structure of LaMn2Cl at the PBE level of DFT.

Cell: 5.7677 3.9871 3.9871 Å, 90.00 90.00 90.00°
With the nearest neighbours (Å) after each atom.
Fractional positions:
Cl: 0.5000 0.5000 0.0000  4 La 2.82
Mn: 0.0000 0.0000 0.0000  4 Mn 2.82
Mn: 0.0000 0.5000 0.5000  4 Mn 2.82
La: 0.5000 0.0000 0.5000  4 Cl 2.82

Values from the calculation:
Formation energy without anion corrections in eV per formula unit: 0.19
Space group: P4/mmm (123)
DOS at the Fermi energy in states/eV per cell: 6.530
Energy above the most stable polymorph in this dataset in eV/atom: 0.256

- Which of these has the highest energy above the most stable polymorph in this dataset?
  number 5

- Which of these has the highest energy above the most stable polymorph in this dataset?
  number 5